(1)
DFT (PBE-GGA) results for a relaxed PuNiSn2 crystal.

Geometry as extended XYZ:
```
4
Lattice="-1.721 3.039 -2.731 -0.203 -3.027 -3.240 -4.086 -1.132 1.314" Properties=species:S:1:pos:R:3 pbc="T T T"
Ni -0.860 1.520 -1.366
Sn -2.043 -0.566 0.657
Sn -0.102 -1.513 -1.620
Pu -3.005 -0.560 -2.328
```

Computed properties:
Final energy: -7.146 eV per atom
Symmetry: P4/mmm, No. 123
ρ: 10268 kg/m3



(2)
DFT (PBE-GGA) results for a relaxed TaAgHg2 crystal.

Geometry as extended XYZ:
```
4
Lattice="2.952 0.000 0.000 0.000 5.183 0.000 0.000 0.000 5.183" Properties=species:S:1:pos:R:3 pbc="T T T"
Hg 0.000 0.000 0.000
Hg 0.000 2.592 2.592
Ag 1.476 0.000 2.592
Ta 1.476 2.592 0.000
```

Computed properties:
Final energy: -3.436 eV per atom
Symmetry: P4/mmm, No. 123
ρ: 14448 kg/m3



(3)
DFT (PBE-GGA) results for a relaxed CdPdPb3 crystal.

Geometry as extended XYZ:
```
5
Lattice="5.397 0.000 0.000 0.000 5.397 0.000 0.000 0.000 5.397" Properties=species:S:1:pos:R:3 pbc="T T T"
Pb 0.000 2.698 0.000
Pb 0.000 0.000 2.698
Pb 2.698 0.000 0.000
Pd 0.000 0.000 0.000
Cd 2.698 2.698 2.698
```

Computed properties:
Symmetry: Pm-3m, No. 221
ρ: 8879 kg/m3
Excess energy over the best structure of this formula in the dataset: 0 meV/atom



(4)
DFT (PBE-GGA) results for a relaxed Tm2ThTl2Cd2 crystal.

Geometry as extended XYZ:
```
7
Lattice="-3.137 -3.945 0.447 1.853 -4.707 0.095 0.236 -2.452 8.651" Properties=species:S:1:pos:R:3 pbc="T T T"
Tm -0.031 -2.626 5.243
Tm -1.017 -8.479 3.949
Th 0.000 0.000 0.000
Tl -0.748 -8.304 7.378
Tl -0.300 -2.801 1.815
Cd -0.656 -5.638 2.909
Cd -0.392 -5.466 6.283
```

Computed properties:
Final energy: -3.336 eV per atom
Symmetry: R-3m, No. 166
ρ: 10595 kg/m3



Look up the ρ of the fourth one.
10595 kg/m3